Run w
Entry from Alexandria via LeMat-Bulk: a geometry-optimized AcCeGeSe structure (PBE).

Properties
**ρ**: 8.03 g/cm³

```
data_AcCeGeSe
_chemical_formula_sum 'Ac4 Ce4 Ge4 Se4'
_cell_length_a 7.542
_cell_length_b 7.542
_cell_length_c 7.542
_cell_angle_alpha 90.00
_cell_angle_beta 90.00
_cell_angle_gamma 90.00
_space_group_name_H-M_alt 'F -4 3 m'
_space_group_IT_number 216
_space_group_name_Hall 'F -4 2 3'
loop_
_atom_site_label
_atom_site_type_symbol
_atom_site_fract_x
_atom_site_fract_y
_atom_site_fract_z
_atom_site_occupancy
Ac1 Ac 0.000 0.000 0.000 1
Ce1 Ce 0.000 0.000 0.500 1
Ge1 Ge 0.250 0.250 0.250 1
Se1 Se 0.250 0.250 0.750 1
```

=====

Run x
Entry from Alexandria via LeMat-Bulk: a geometry-optimized AcCeGeSe structure (PBE).

Properties
**ρ**: 7.15 g/cm³

```
data_AcCeGeSe
_chemical_formula_sum 'Ac3 Ce3 Ge3 Se3'
_cell_length_a 4.4033
_cell_length_b 4.4033
_cell_length_c 21.5341
_cell_angle_alpha 90.00
_cell_angle_beta 90.00
_cell_angle_gamma 120.00
_space_group_name_H-M_alt 'R 3 m'
_space_group_IT_number 160
_space_group_name_Hall 'R 3 -2"'
loop_
_atom_site_label
_atom_site_type_symbol
_atom_site_fract_x
_atom_site_fract_y
_atom_site_fract_z
_atom_site_occupancy
Ac1 Ac 0.0000 0.0000 0.0000 1
Ce1 Ce 0.0000 0.0000 0.5055 1
Ge1 Ge 0.0000 0.0000 0.2450 1
Se1 Se 0.0000 0.0000 0.7589 1
```

=====

Most stable to least stable, the ends of the list are run x and run w.

=====

Run w
Entry from Alexandria via LeMat-Bulk: a geometry-optimized AcCeH2 structure (PBE).

Properties
**ρ**: 8.03 g/cm³

```
data_AcCeH2
_chemical_formula_sum 'Ac3 Ce3 H6'
_cell_length_a 3.7024
_cell_length_b 3.7024
_cell_length_c 19.2920
_cell_angle_alpha 90.00
_cell_angle_beta 90.00
_cell_angle_gamma 120.00
_space_group_name_H-M_alt 'R 3 m'
_space_group_IT_number 160
_space_group_name_Hall 'R 3 -2"'
loop_
_atom_site_label
_atom_site_type_symbol
_atom_site_fract_x
_atom_site_fract_y
_atom_site_fract_z
_atom_site_occupancy
Ac1 Ac 0.0000 0.0000 0.0000 1
Ce1 Ce 0.0000 0.0000 0.8248 1
H1 H 0.0000 0.0000 0.2200 1
H2 H 0.0000 0.0000 0.4242 1
```

=====

Run x
Entry from Alexandria via LeMat-Bulk: a geometry-optimized AcCeH2 structure (PBE).

Properties
**ρ**: 8.25 g/cm³

```
data_AcCeH2
_chemical_formula_sum 'Ac3 Ce3 H6'
_cell_length_a 3.7583
_cell_length_b 3.7583
_cell_length_c 18.2243
_cell_angle_alpha 90.00
_cell_angle_beta 90.00
_cell_angle_gamma 120.00
_space_group_name_H-M_alt 'R -3 m'
_space_group_IT_number 166
_space_group_name_Hall '-R 3 2"'
loop_
_atom_site_label
_atom_site_type_symbol
_atom_site_fract_x
_atom_site_fract_y
_atom_site_fract_z
_atom_site_occupancy
Ac1 Ac 0.0000 0.0000 0.0000 1
Ce1 Ce 0.0000 0.0000 0.5000 1
H1 H 0.0000 0.0000 0.2386 1
```

=====

Most stable to least stable, the ends of the list are run x and run w.